[1]
TbErNi2Ge | PBE | relaxed

Cell lengths 3.5971, 6.9040, 6.9040 Å; angles 33.20, 90.00, 90.00 degrees
Sites, in units of the cell vectors:
Ni1 0.5000 0.8043 0.8043
Ni2 0.5000 0.1934 0.1934
Er1 0.0000 0.6298 0.6298
Ge1 0.5000 0.0013 0.0013
Tb1 0.0000 0.3711 0.3711

## Properties
* space-group type: Amm2
* uncorrected energy: -5.60 eV per atom

***

[2]
ErTm2Ni4Ge4 | PBE | relaxed

Cell lengths 7.7618, 7.7618, 7.7618 Å; angles 149.79, 128.83, 60.59 degrees
Sites, in units of the cell vectors:
Ge1 0.7824 0.2824 0.5000
Ge2 0.3062 0.0000 0.3062
Ge3 0.6938 0.0000 0.6938
Ge4 0.2176 0.7176 0.5000
Ni1 0.3726 0.1768 0.1958
Ni2 0.9810 0.1768 0.8042
Ni3 0.0190 0.8232 0.1958
Ni4 0.6274 0.8232 0.8042
Tm1 0.3709 0.3709 0.0000
Tm2 0.6291 0.6291 0.0000
Er1 0.0000 0.5000 0.5000

## Properties
* space-group type: Immm
* uncorrected energy: -5.68 eV per atom

***

[3]
Y2ErNi4Ge4 | PBE | relaxed

Cell lengths 7.8172, 7.8172, 7.8172 Å; angles 149.63, 129.23, 60.31 degrees
Sites, in units of the cell vectors:
Ni1 0.9825 0.6765 0.3059
Ni2 0.6294 0.3235 0.3059
Ni3 0.3706 0.6765 0.6941
Ni4 0.0175 0.3235 0.6941
Ge1 0.2171 0.2171 0.0000
Ge2 0.7829 0.7829 0.0000
Ge3 0.6961 0.5000 0.1961
Ge4 0.3039 0.5000 0.8039
Y1 0.3711 0.8711 0.5000
Y2 0.6289 0.1289 0.5000
Er1 0.0000 0.0000 0.0000

## Properties
* space-group type: Immm
* uncorrected energy: -6.03 eV per atom

***

[4]
Er2Ge2O7 | PBE | relaxed

Cell lengths 6.6672, 6.8003, 6.6793 Å; angles 85.89, 94.21, 115.26 degrees
Sites, in units of the cell vectors:
Er1 0.2965 0.3529 0.1278
Er2 0.8268 0.3563 0.3800
Er3 0.7553 0.0024 0.8456
Er4 0.3189 0.8566 0.4402
O1 0.9236 0.1230 0.1729
O2 0.7952 0.3273 0.7160
O3 0.2853 0.0028 0.1504
O4 0.0870 0.5450 0.0438
O5 0.7010 0.9870 0.5039
O6 0.5429 0.7370 0.1650
O7 0.9317 0.7890 0.8582
O8 0.5350 0.5581 0.7668
O9 0.9371 0.7227 0.4104
O10 0.6420 0.3747 0.1037
O11 0.3877 0.8993 0.7679
O12 0.1434 0.2005 0.8168
O13 0.4107 0.2355 0.4497
O14 0.1950 0.4889 0.4523
Ge1 0.7884 0.8705 0.3137
Ge2 0.3165 0.3541 0.6278
Ge3 0.2045 0.8239 0.9601
Ge4 0.7695 0.4994 0.8813

## Properties
* space-group type: P1
* uncorrected energy: -7.41 eV per atom

***

- Number 3 is which compound?
  Y2ErNi4Ge4

***

Copy entry 2 word for word.
ErTm2Ni4Ge4 | PBE | relaxed

Cell lengths 7.7618, 7.7618, 7.7618 Å; angles 149.79, 128.83, 60.59 degrees
Sites, in units of the cell vectors:
Ge1 0.7824 0.2824 0.5000
Ge2 0.3062 0.0000 0.3062
Ge3 0.6938 0.0000 0.6938
Ge4 0.2176 0.7176 0.5000
Ni1 0.3726 0.1768 0.1958
Ni2 0.9810 0.1768 0.8042
Ni3 0.0190 0.8232 0.1958
Ni4 0.6274 0.8232 0.8042
Tm1 0.3709 0.3709 0.0000
Tm2 0.6291 0.6291 0.0000
Er1 0.0000 0.5000 0.5000

## Properties
* space-group type: Immm
* uncorrected energy: -5.68 eV per atom